(1)
TaSi2N | PBE | relaxed

- V (Å³/atom) = 12.04
- VASP energy (eV/atom) = -7.728

a = 2.834 Å, b = 2.834 Å, c = 13.847 Å
α = 90.00°, β = 90.00°, γ = 120.00°
Element x y z (fractional)
Ta1 0.333 0.667 0.250
Ta2 0.667 0.333 0.750
Si1 0.333 0.667 0.595
Si2 0.333 0.667 0.905
Si3 0.667 0.333 0.095
Si4 0.667 0.333 0.405
N1 0.000 0.000 0.000
N2 0.000 0.000 0.500



(2)
Mg3Cd2Au3 | PBE | relaxed

- V (Å³/atom) = 19.06
- VASP energy (eV/atom) = -2.306
- energy relative to the lowest polymorph listed for this composition (eV/atom) = 0.084

a = 6.208 Å, b = 6.208 Å, c = 4.568 Å
α = 90.00°, β = 90.00°, γ = 120.00°
Element x y z (fractional)
Mg1 0.170 0.340 0.000
Mg2 0.170 0.830 0.000
Mg3 0.660 0.830 0.000
Cd1 0.000 0.000 0.500
Cd2 0.667 0.333 0.000
Au1 0.009 0.504 0.500
Au2 0.496 0.504 0.500
Au3 0.496 0.991 0.500



(3)
NbZn2Ge | PBE | relaxed

- V (Å³/atom) = 16.28
- VASP energy (eV/atom) = -4.041

a = 6.387 Å, b = 6.387 Å, c = 6.387 Å
α = 90.00°, β = 90.00°, γ = 90.00°
Element x y z (fractional)
Nb1 0.000 0.000 0.000
Nb2 0.000 0.500 0.500
Nb3 0.500 0.000 0.500
Nb4 0.500 0.500 0.000
Zn1 0.000 0.000 0.500
Zn2 0.000 0.500 0.000
Zn3 0.250 0.250 0.250
Zn4 0.250 0.750 0.750
Zn5 0.500 0.000 0.000
Zn6 0.500 0.500 0.500
Zn7 0.750 0.250 0.750
Zn8 0.750 0.750 0.250
Ge1 0.250 0.250 0.750
Ge2 0.250 0.750 0.250
Ge3 0.750 0.250 0.250
Ge4 0.750 0.750 0.750



(4)
CsReAgTe2S | PBE | relaxed

- V (Å³/atom) = 30.27
- VASP energy (eV/atom) = -4.449

a = 9.036 Å, b = 9.036 Å, c = 10.047 Å
α = 90.00°, β = 90.00°, γ = 153.72°
Element x y z (fractional)
Cs1 0.235 0.765 0.750
Cs2 0.765 0.235 0.250
Re1 0.000 0.000 0.000
Re2 0.000 0.000 0.500
Ag1 0.458 0.542 0.250
Ag2 0.542 0.458 0.750
Te1 0.392 0.608 0.008
Te2 0.392 0.608 0.492
Te3 0.608 0.392 0.508
Te4 0.608 0.392 0.992
S1 0.042 0.958 0.250
S2 0.958 0.042 0.750



Question: Look up the VASP energy of the fourth one.
Answer: -4.449 eV/atom